Computed, not measured: crystalline La2SbRhPb at its relaxed geometry at the PBEsol level of DFT.

For the uncorrected formation energy, the calculation gives 0.7000 eV per atom.

The space group is P4/mmm (No. 123) and the conventional cell measures 5.867, 5.867 and 5.470 Å, with angles of 90.00, 90.00 and 90.00 degrees. The inequivalent atoms are La at (0.000, 0.500, 0.000), Sb at (0.000, 0.000, 0.000), Rh at (0.500, 0.500, 0.500) and Pb at (0.000, 0.000, 0.500).


Computed, not measured: crystalline SiPSe2 at its relaxed geometry at the PBEsol level of DFT.

For the uncorrected formation energy, the calculation gives 0.2736 eV per atom. For the energy above the most stable polymorph in this dataset, the calculation gives 0.050 eV per atom.

The space group is P4mm (No. 99) and the conventional cell measures 3.254, 3.254 and 7.860 Å, with angles of 90.00, 90.00 and 90.00 degrees. The inequivalent atoms are Si at (0.000, 0.000, 0.000), P at (0.500, 0.500, 0.337), Se at (0.000, 0.000, 0.464) and Se at (0.500, 0.500, 0.854).


Computed, not measured: crystalline ReSiPCl2 at its relaxed geometry at the PBEsol level of DFT.

For the uncorrected formation energy, the calculation gives 1.0900 eV per atom.

The space group is P4/mmm (No. 123) and the conventional cell measures 4.439, 4.439 and 4.924 Å, with angles of 90.00, 90.00 and 90.00 degrees. The inequivalent atoms are Re at (0.000, 0.000, 0.000), Si at (0.500, 0.500, 0.500), P at (0.500, 0.500, 0.000) and Cl at (0.000, 0.500, 0.500).


Computed, not measured: crystalline P2PdC at its relaxed geometry at the PBEsol level of DFT.

The value obtained for the raw total energy is -6.643 eV per atom.

The space group is I-42d (No. 122) and the conventional cell measures 5.113, 5.113 and 8.283 Å, with angles of 90.00, 90.00 and 90.00 degrees. The inequivalent atoms are P at (0.186, 0.250, 0.125), Pd at (0.000, 0.000, 0.500) and C at (0.000, 0.000, 0.000).


Computed, not measured: crystalline CaGe2 at its relaxed geometry at the PBEsol level of DFT.

The value obtained for the raw total energy is -4.524 eV per atom.

The space group is R-3m (No. 166, hexagonal axes) and the conventional cell measures 3.9827, 3.9827 and 29.9384 Å, with angles of 90.00, 90.00 and 120.00 degrees. The inequivalent atoms are Ca at (0.0000, 0.0000, 0.0804), Ge at (0.0000, 0.0000, 0.1851) and Ge at (0.0000, 0.0000, 0.3503).


Computed, not measured: crystalline NiRuPt2 at its relaxed geometry at the PBEsol level of DFT.

For the energy above the most stable polymorph in this dataset, the calculation gives 0.000 eV per atom.

The space group is P4/mmm (No. 123) and the conventional cell measures 2.697, 2.697 and 7.390 Å, with angles of 90.00, 90.00 and 90.00 degrees. The inequivalent atoms are Ni at (0.000, 0.000, 0.000), Ru at (0.000, 0.000, 0.500) and Pt at (0.500, 0.500, 0.243).


Computed, not measured: crystalline AgPdS2N at its relaxed geometry at the PBEsol level of DFT.

For the uncorrected formation energy, the calculation gives 0.8274 eV per atom.

The space group is P4/mmm (No. 123) and the conventional cell measures 4.872, 4.872 and 3.590 Å, with angles of 90.00, 90.00 and 90.00 degrees. The inequivalent atoms are Ag at (0.000, 0.000, 0.000), Pd at (0.500, 0.500, 0.500), S at (0.000, 0.500, 0.500) and N at (0.500, 0.500, 0.000).


Computed, not measured: crystalline Rb2PrBr5 at its relaxed geometry at the PBEsol level of DFT.

For the uncorrected formation energy, the calculation gives -1.8591 eV per atom.

The space group is Pnma (No. 62) and the conventional cell measures 13.616, 9.265 and 8.570 Å, with angles of 90.00, 90.00 and 90.00 degrees. The inequivalent atoms are Rb at (0.171, 0.006, 0.065), Pr at (0.006, 0.250, 0.576), Br at (0.009, 0.250, 0.919), Br at (0.071, 0.546, 0.670), Br at (0.183, 0.250, 0.383) and Br at (0.203, 0.750, 0.348).


Computed, not measured: crystalline ScReW2 at its relaxed geometry at the PBEsol level of DFT.

For the energy above the most stable polymorph in this dataset, the calculation gives 0.199 eV per atom.

The space group is R3m (No. 160, hexagonal axes) and the conventional cell measures 2.8858, 2.8858 and 27.3208 Å, with angles of 90.00, 90.00 and 120.00 degrees. The inequivalent atoms are Sc at (0.0000, 0.0000, 0.0000), Re at (0.0000, 0.0000, 0.2487), W at (0.0000, 0.0000, 0.5058) and W at (0.0000, 0.0000, 0.7560).


Computed, not measured: crystalline GdB3O6 at its relaxed geometry at the PBEsol level of DFT.

For the uncorrected formation energy, the calculation gives -2.7705 eV per atom.

The space group is C2/c (No. 15) and the conventional cell measures 9.638, 8.007 and 6.211 Å, with angles of 90.00, 125.91 and 90.00 degrees. The inequivalent atoms are Gd at (0.000, 0.200, 0.250), B at (0.000, 0.219, 0.750), B at (0.224, 0.436, 0.089), O at (0.101, 0.312, 0.996), O at (0.105, 0.108, 0.706) and O at (0.199, 0.406, 0.503).


Computed, not measured: crystalline ScTc2Se at its relaxed geometry at the PBEsol level of DFT.

For the uncorrected formation energy, the calculation gives 0.0594 eV per atom.

The space group is Pmmm (No. 47) and the conventional cell measures 3.004, 4.209 and 5.082 Å, with angles of 90.00, 90.00 and 90.00 degrees. The inequivalent atoms are Sc at (0.000, 0.000, 0.000), Tc at (0.500, 0.500, 0.273) and Se at (0.000, 0.000, 0.500).


Computed, not measured: crystalline NiC at its relaxed geometry at the PBEsol level of DFT.

The value obtained for the raw total energy is -6.953 eV per atom.

The space group is P6_3mc (No. 186) and the conventional cell measures 3.0562, 3.0562 and 4.8911 Å, with angles of 90.00, 90.00 and 120.00 degrees. The inequivalent atoms are Ni at (0.3333, 0.6667, 0.0000) and C at (0.3333, 0.6667, 0.3811).